[1]
! KBaMnMo2, optimized geometry, DFT PBE-GGA; values from VASP
&SYSTEM
  ibrav = 0, nat = 5, ntyp = 4
/
ATOMIC_SPECIES
K 39.10 K.upf
Mn 54.94 Mn.upf
Ba 137.33 Ba.upf
Mo 95.94 Mo.upf
CELL_PARAMETERS angstrom
-2.9077 2.9942 -2.9352
-2.8585 -4.5243 -1.7835
-3.3008 0.5680 3.8494
ATOMIC_POSITIONS crystal
K 0.0000 0.5000 0.0000
Mn 0.5000 0.5000 0.5000
Ba 0.0000 0.0000 0.0000
Mo 0.5000 0.0000 0.0000
Mo 0.0000 0.0000 0.5000
! Symmetry: P4/mmm (123)
! Formation energy from the elements (kJ per mole of atoms): 304


[2]
! LiAc2AlAu6, optimized geometry, DFT PBE-GGA; values from VASP
&SYSTEM
  ibrav = 0, nat = 10, ntyp = 4
/
ATOMIC_SPECIES
Au 196.97 Au.upf
Li 6.94 Li.upf
Al 26.98 Al.upf
Ac 227.00 Ac.upf
CELL_PARAMETERS angstrom
-6.2988 0.5663 -4.6527
-1.8358 -5.8566 1.7582
-6.4726 -0.8220 2.1689
ATOMIC_POSITIONS crystal
Au 0.7441 0.7806 0.9815
Au 0.7459 0.2398 0.9777
Li 0.0000 0.0000 0.0000
Al 0.5000 0.5000 0.0000
Ac 0.7121 0.2629 0.4756
Ac 0.2879 0.7371 0.5244
Au 0.2541 0.7602 0.0223
Au 0.1261 0.2460 0.5044
Au 0.2559 0.2194 0.0185
Au 0.8739 0.7540 0.4956
! Symmetry: P-1 (2)
! Formation energy from the elements (kJ per mole of atoms): -58


[3]
! LuAlZnCu, optimized geometry, DFT PBE-GGA; values from VASP
&SYSTEM
  ibrav = 0, nat = 4, ntyp = 4
/
ATOMIC_SPECIES
Zn 65.41 Zn.upf
Al 26.98 Al.upf
Cu 63.55 Cu.upf
Lu 174.97 Lu.upf
CELL_PARAMETERS angstrom
4.5606 0.0000 0.0000
2.2803 3.9496 0.0000
2.2803 1.3165 3.7237
ATOMIC_POSITIONS crystal
Zn 0.7500 0.7500 0.7500
Al 0.5000 0.5000 0.5000
Cu 0.2500 0.2500 0.2500
Lu 0.0000 0.0000 0.0000
! Symmetry: F-43m (216)
! Formation energy from the elements (kJ per mole of atoms): -33


[4]
! Li2YFe, optimized geometry, DFT PBE-GGA; values from VASP
&SYSTEM
  ibrav = 0, nat = 4, ntyp = 3
/
ATOMIC_SPECIES
Fe 55.84 Fe.upf
Li 6.94 Li.upf
Y 88.91 Y.upf
CELL_PARAMETERS angstrom
5.4128 -0.1094 0.0000
-2.6230 4.7361 0.0000
0.0000 0.0000 3.0633
ATOMIC_POSITIONS crystal
Fe 0.0000 0.5000 0.5000
Li 0.5000 0.5000 0.0000
Y 0.5000 0.0000 0.5000
Li 0.0000 0.0000 0.0000
! Symmetry: Cmmm (65)
! Formation energy from the elements (kJ per mole of atoms): 45


[5]
! TiHg2H, optimized geometry, DFT PBE-GGA; values from VASP
&SYSTEM
  ibrav = 0, nat = 4, ntyp = 3
/
ATOMIC_SPECIES
Ti 47.87 Ti.upf
Hg 200.59 Hg.upf
H 1.01 H.upf
CELL_PARAMETERS angstrom
0.0000 3.2673 3.2673
3.2673 0.0000 3.2673
3.2673 3.2673 0.0000
ATOMIC_POSITIONS crystal
Ti 0.5000 0.5000 0.5000
Hg 0.7500 0.7500 0.7500
Hg 0.2500 0.2500 0.2500
H 0.0000 0.0000 0.0000
! VASP energy (eV/atom): -2.301
! Symmetry: Fm-3m (225)


[6]
! Dy6Er2Tm3Th, optimized geometry, DFT PBE-GGA; values from VASP
&SYSTEM
  ibrav = 0, nat = 12, ntyp = 4
/
ATOMIC_SPECIES
Er 167.26 Er.upf
Dy 162.50 Dy.upf
Tm 168.93 Tm.upf
Th 232.04 Th.upf
CELL_PARAMETERS angstrom
-5.1946 3.1977 -0.3268
2.1767 -2.8011 -4.9731
-4.9908 -9.5963 4.4717
ATOMIC_POSITIONS crystal
Er 0.3333 0.6667 0.0000
Dy 0.0843 0.4149 0.2505
Tm 0.1673 0.8327 0.5000
Th 0.0000 0.0000 0.0000
Er 0.6667 0.3333 0.0000
Tm 0.8327 0.1673 0.5000
Dy 0.5851 0.9157 0.7495
Dy 0.4149 0.0843 0.2505
Dy 0.2462 0.2462 0.7496
Dy 0.7538 0.7538 0.2504
Dy 0.9157 0.5851 0.7495
Tm 0.5000 0.5000 0.5000
! Symmetry: C2/m (12)
! Formation energy from the elements (kJ per mole of atoms): 3


[7]
! HgRu, optimized geometry, DFT PBE-GGA; values from VASP
&SYSTEM
  ibrav = 0, nat = 6, ntyp = 2
/
ATOMIC_SPECIES
Ru 101.07 Ru.upf
Hg 200.59 Hg.upf
CELL_PARAMETERS angstrom
1.4220 5.6717 0.0706
-1.4220 5.6717 0.0706
0.0000 3.0574 6.7888
ATOMIC_POSITIONS crystal
Ru 0.0248 0.0248 0.3828
Hg 0.0509 0.0509 0.9812
Ru 0.3570 0.3570 0.2966
Hg 0.6546 0.6546 0.5939
Hg 0.3560 0.3560 0.7626
Ru 0.7234 0.7234 0.1496
! Symmetry: Cm (8)
! Formation energy from the elements (kJ per mole of atoms): 46


[8]
! Dy3Sc4Sb4, optimized geometry, DFT PBE-GGA; values from VASP
&SYSTEM
  ibrav = 0, nat = 11, ntyp = 3
/
ATOMIC_SPECIES
Sc 44.96 Sc.upf
Sb 121.76 Sb.upf
Dy 162.50 Dy.upf
CELL_PARAMETERS angstrom
-3.4637 -1.0854 -2.0063
2.6549 -8.4810 0.0045
-3.1827 3.6638 7.7992
ATOMIC_POSITIONS crystal
Sc 0.6763 0.4760 0.3526
Sb 0.5000 0.7884 0.0000
Sb 0.5000 0.2116 0.0000
Sb 0.2337 0.7337 0.4674
Sc 0.6763 0.8766 0.3526
Dy 0.0000 0.5000 0.0000
Sc 0.3237 0.5240 0.6474
Sc 0.3237 0.1234 0.6474
Dy 0.1130 0.1130 0.2260
Sb 0.7663 0.2663 0.5326
Dy 0.8870 0.8870 0.7740
! VASP energy (eV/atom): -5.851
! Symmetry: Immm (71)


Here are the calculated DOS at the Fermi energy numbers, same order: 9.793, 4.228, 2.285, 4.586, 3.673, 15.734, 5.848, 9.505 (states/eV per cell).